[1]
DFT (GGA-PBE) results for a relaxed structure of Hf2HgPd.

a b c (Å): 3.3714 3.3714 6.9712
angles (deg): 90.00 90.00 90.00
Space group P4/mmm (No. 123)
Asymmetric unit:
Hf1 0.0000 0.0000 0.2297
Hg1 0.5000 0.5000 0.5000
Pd1 0.5000 0.5000 0.0000

Values from the calculation:
For the total energy, the calculation gives -6.65 eV/atom. The formation energy from the elements is -1.20 eV per formula unit.

=====

[2]
DFT (GGA-PBE) results for a relaxed structure of HfHg2Pd8.

a b c (Å): 4.9555 4.9564 7.6042
angles (deg): 91.51 96.25 98.74
Space group P-1 (No. 2)
Asymmetric unit:
Hf1 0.0000 0.0000 0.0000
Hg1 0.1857 0.3796 0.7174
Pd1 0.0977 0.1712 0.3533
Pd2 0.2694 0.5431 0.0881
Pd3 0.3646 0.7337 0.4546
Pd4 0.4491 0.9184 0.8202

Values from the calculation:
The relative energy among the computed polymorphs comes out at 0 meV per atom. For the total energy, the calculation gives -5.08 eV/atom. The formation energy from the elements is -3.78 eV per formula unit.

=====

[3]
DFT (GGA-PBE) results for a relaxed structure of HfHgPd2.

a b c (Å): 7.4124 7.4124 5.7931
angles (deg): 90.00 90.00 90.00
Space group I-42d (No. 122)
Asymmetric unit:
Hf1 0.0000 0.0000 0.0000
Hg1 0.0000 0.0000 0.5000
Pd1 0.2293 0.7500 0.1250

Values from the calculation:
For the total energy, the calculation gives -5.32 eV/atom. The formation energy from the elements is -0.64 eV per formula unit.

=====

[4]
DFT (GGA-PBE) results for a relaxed structure of Hf3HgPd.

a b c (Å): 5.0072 5.0072 5.0072
angles (deg): 90.00 90.00 90.00
Space group Pm-3m (No. 221)
Asymmetric unit:
Hf1 0.0000 0.0000 0.5000
Hg1 0.5000 0.5000 0.5000
Pd1 0.0000 0.0000 0.0000

Values from the calculation:
The relative energy among the computed polymorphs comes out at 0 meV per atom. For the total energy, the calculation gives -6.63 eV/atom. The formation energy from the elements is 2.21 eV per formula unit.